CaCuAs2Pd | GGA-PBE | optimized geometry

Values from the calculation:
The total magnetization is 0.00 Bohr magnetons per cell. The energy relative to the elements comes out at -3.067 eV per formula unit. The total DFT energy (no corrections) is -4.73 eV/atom. As for the space group: No. 119.

a b c (Å): 6.0496 6.0496 6.0496
angles (deg): 138.97 138.97 59.41
Positions (direct):
Ca: 0.0000 0.0000 0.0000
Cu: 0.7500 0.2500 0.5000
As: 0.3796 0.3796 0.0000
As: 0.6204 0.6204 0.0000
Pd: 0.2500 0.7500 0.5000